Here is an optimized crystal structure of ZrSc2Hg from Alexandria. Energies are from GGA-PBE.

Crystal system: cubic
Energy relative to the elements: 0.002 eV per atom

Lattice parameters (Å, degrees): 7.103 7.103 7.103 90.00 90.00 90.00
Space group F-43m (No. 216)
Asymmetric unit:
Zr: 0.000 0.000 0.000 [4 per cell]
Sc: 0.000 0.000 0.500 [4 per cell]
Sc: 0.250 0.250 0.750 [4 per cell]
Hg: 0.250 0.250 0.250 [4 per cell]


Here is an optimized crystal structure of Ca2PuBeO6 from Alexandria. Energies are from GGA-PBE.

Crystal system: monoclinic
E_form (uncorrected): -2.686 eV/atom

Lattice parameters (Å, degrees): 6.760 6.644 9.330 90.00 131.97 90.00
Space group P2_1/c (No. 14)
Asymmetric unit:
Ca: 0.179 0.051 0.250 [4 per cell]
Pu: 0.500 0.000 0.000 [2 per cell]
Be: 0.000 0.000 0.500 [2 per cell]
O: 0.100 0.067 0.686 [4 per cell]
O: 0.257 0.515 0.550 [4 per cell]
O: 0.470 0.708 0.959 [4 per cell]


Here is an optimized crystal structure of CdTc2Se from Alexandria. Energies are from GGA-PBE.

Crystal system: tetragonal
E_form (uncorrected): 0.576 eV/atom
E above lowest polymorph: 476 meV per atom

Lattice parameters (Å, degrees): 4.101 4.101 18.370 90.00 90.00 90.00
Space group I-42d (No. 122)
Asymmetric unit:
Cd: 0.000 0.000 0.000 [4 per cell]
Tc: 0.156 0.250 0.625 [8 per cell]
Se: 0.000 0.000 0.500 [4 per cell]


Here is an optimized crystal structure of AcLa2TbPm4 from Alexandria. Energies are from GGA-PBE.

Crystal system: monoclinic
Energy relative to the elements: 0.367 eV per atom

Lattice parameters (Å, degrees): 13.964 13.671 7.047 90.00 119.91 90.00
Space group C2/c (No. 15)
Asymmetric unit:
Ac: 0.250 0.250 0.000 [4 per cell]
La: 0.000 0.000 0.000 [4 per cell]
La: 0.250 0.250 0.500 [4 per cell]
Tb: 0.000 0.500 0.000 [4 per cell]
Pm: 0.001 0.255 0.486 [8 per cell]
Pm: 0.245 0.491 0.467 [8 per cell]


Here is an optimized crystal structure of Sm2YEr from Alexandria. Energies are from GGA-PBE.

Crystal system: cubic
Energy relative to the elements: 0.119 eV per atom
E above lowest polymorph: 104 meV per atom

Lattice parameters (Å, degrees): 8.078 8.078 8.078 90.00 90.00 90.00
Space group Fm-3m (No. 225)
Asymmetric unit:
Sm: 0.250 0.250 0.250 [8 per cell]
Y: 0.000 0.000 0.000 [4 per cell]
Er: 0.000 0.000 0.500 [4 per cell]


Here is an optimized crystal structure of Cd2Bi2Rh from Alexandria. Energies are from GGA-PBE.

Crystal system: tetragonal
Energy relative to the elements: 0.153 eV per atom
E above lowest polymorph: 270 meV per atom

Lattice parameters (Å, degrees): 7.111 7.111 5.227 90.00 90.00 90.00
Space group P4/mbm (No. 127)
Asymmetric unit:
Cd: 0.164 0.336 0.000 [4 per cell]
Bi: 0.157 0.657 0.500 [4 per cell]
Rh: 0.000 0.000 0.500 [2 per cell]


Here is an optimized crystal structure of Np2AlTe5 from Alexandria. Energies are from GGA-PBE.

Crystal system: orthorhombic
E_form (uncorrected): -0.564 eV/atom

Lattice parameters (Å, degrees): 8.489 12.846 4.154 90.00 90.00 90.00
Space group Pbam (No. 55)
Asymmetric unit:
Np: 0.029 0.177 0.000 [4 per cell]
Al: 0.000 0.500 0.500 [2 per cell]
Te: 0.000 0.000 0.500 [2 per cell]
Te: 0.169 0.407 0.000 [4 per cell]
Te: 0.175 0.690 0.500 [4 per cell]


Raw total energy list, top to bottom, in eV per atom: -5.376 -7.867 -5.707 -4.332 -4.997 -3.236 -6.230
DOS(E_F) list, top to bottom, in states/eV per cell: 23.15 12.82 9.92 72.80 33.22 5.22 37.96